No. 1
Below is a relaxed structure of Dy2YInO, with properties calculated at the GGA-PBE level.

## Properties
* calculated density: 8.249 Mg/m³
* VASP energy: -6.1032 eV/atom
* energy relative to the elements, uncorrected: -1.43 eV/atom

a b c (Å): 4.775 4.775 4.809
angles (deg): 90.00 90.00 90.00
Positions (direct):
Dy  0.000  0.500  0.000
Dy  0.500  0.000  0.000
Y  0.000  0.000  0.500
In  0.500  0.500  0.500
O  0.000  0.000  0.000



No. 2
Below is a relaxed structure of PuScNbO6, with properties calculated at the GGA-PBE level.

## Properties
* calculated density: 6.672 Mg/m³
* VASP energy: -9.6676 eV/atom
* energy relative to the elements, uncorrected: -2.95 eV/atom

a b c (Å): 5.347 5.347 9.605
angles (deg): 90.00 90.00 120.00
Positions (direct):
Pu  0.000  0.000  0.000
Pu  0.000  0.000  0.500
Sc  0.333  0.667  0.250
Sc  0.667  0.333  0.750
Nb  0.333  0.667  0.750
Nb  0.667  0.333  0.250
O  0.014  0.352  0.635
O  0.014  0.662  0.865
O  0.338  0.352  0.865
O  0.338  0.986  0.635
O  0.352  0.014  0.135
O  0.352  0.338  0.365
O  0.648  0.662  0.635
O  0.648  0.986  0.865
O  0.662  0.014  0.365
O  0.662  0.648  0.135
O  0.986  0.338  0.135
O  0.986  0.648  0.365



No. 3
Below is a relaxed structure of U2TcC2, with properties calculated at the GGA-PBE level.

## Properties
* energy of formation from the pure elements: -0.146 eV/atom
* calculated density: 14.335 Mg/m³
* VASP energy: -10.4243 eV/atom

a b c (Å): 6.384 6.384 3.399
angles (deg): 90.00 90.00 90.00
Positions (direct):
U  0.137  0.363  0.000
U  0.363  0.863  0.000
U  0.637  0.137  0.000
U  0.863  0.637  0.000
Tc  0.000  0.000  0.500
Tc  0.500  0.500  0.500
C  0.166  0.666  0.500
C  0.334  0.166  0.500
C  0.666  0.834  0.500
C  0.834  0.334  0.500



No. 4
Below is a relaxed structure of Fe, with properties calculated at the GGA-PBE level.

## Properties
* energy of formation from the pure elements: 0.172 eV/atom
* calculated density: 7.664 Mg/m³
* VASP energy: -8.2908 eV/atom

a b c (Å): 8.608 8.608 4.572
angles (deg): 90.00 90.00 90.00
Positions (direct):
Fe  0.022  0.367  0.000
Fe  0.037  0.233  0.500
Fe  0.096  0.096  0.000
Fe  0.133  0.522  0.500
Fe  0.210  0.790  0.246
Fe  0.210  0.790  0.754
Fe  0.233  0.037  0.500
Fe  0.267  0.537  0.000
Fe  0.290  0.290  0.254
Fe  0.290  0.290  0.746
Fe  0.367  0.022  0.000
Fe  0.404  0.596  0.500
Fe  0.463  0.733  0.000
Fe  0.478  0.867  0.500
Fe  0.522  0.133  0.500
Fe  0.537  0.267  0.000
Fe  0.596  0.404  0.500
Fe  0.633  0.978  0.000
Fe  0.710  0.710  0.254
Fe  0.710  0.710  0.746
Fe  0.733  0.463  0.000
Fe  0.767  0.963  0.500
Fe  0.790  0.210  0.246
Fe  0.790  0.210  0.754
Fe  0.867  0.478  0.500
Fe  0.904  0.904  0.000
Fe  0.963  0.767  0.500
Fe  0.978  0.633  0.000



No. 5
Below is a relaxed structure of Cr4Pd12Rh, with properties calculated at the GGA-PBE level.

## Properties
* energy of formation from the pure elements: 0.220 eV/atom
* calculated density: 9.518 Mg/m³
* VASP energy: -6.1419 eV/atom

a b c (Å): 7.113 7.113 7.113
angles (deg): 109.47 109.47 109.47
Positions (direct):
Cr  0.000  0.000  0.500
Cr  0.000  0.500  0.000
Cr  0.500  0.000  0.000
Cr  0.500  0.500  0.500
Pd  0.000  0.295  0.295
Pd  0.000  0.705  0.705
Pd  0.250  0.500  0.750
Pd  0.250  0.750  0.500
Pd  0.295  0.000  0.295
Pd  0.295  0.295  0.000
Pd  0.500  0.250  0.750
Pd  0.500  0.750  0.250
Pd  0.705  0.000  0.705
Pd  0.705  0.705  0.000
Pd  0.750  0.250  0.500
Pd  0.750  0.500  0.250
Rh  0.000  0.000  0.000



No. 6
Below is a relaxed structure of Dy4GaPd, with properties calculated at the GGA-PBE level.

## Properties
* energy of formation from the pure elements: -0.323 eV/atom
* calculated density: 8.123 Mg/m³
* VASP energy: -4.7613 eV/atom

a b c (Å): 10.728 10.728 6.277
angles (deg): 90.00 90.00 152.12
Positions (direct):
Dy  0.057  0.943  0.500
Dy  0.191  0.809  0.217
Dy  0.212  0.788  0.703
Dy  0.385  0.615  0.441
Dy  0.615  0.385  0.941
Dy  0.788  0.212  0.203
Dy  0.809  0.191  0.717
Dy  0.943  0.057  0.000
Ga  0.341  0.659  0.965
Ga  0.659  0.341  0.465
Pd  0.075  0.925  0.993
Pd  0.925  0.075  0.493



No. 7
Below is a relaxed structure of Mn2Fe2W, with properties calculated at the GGA-PBE level.

## Properties
* energy of formation from the pure elements: 0.389 eV/atom
* calculated density: 10.941 Mg/m³
* VASP energy: -9.2546 eV/atom

a b c (Å): 5.449 5.449 5.449
angles (deg): 141.76 141.76 55.19
Positions (direct):
Mn  0.104  0.104  0.000
Mn  0.896  0.896  0.000
Fe  0.250  0.750  0.500
Fe  0.750  0.250  0.500
W  0.500  0.500  0.000



No. 8
Below is a relaxed structure of PrPuAlIn, with properties calculated at the GGA-PBE level.

## Properties
* energy of formation from the pure elements: -0.188 eV/atom
* calculated density: 8.124 Mg/m³
* VASP energy: -6.5862 eV/atom

a b c (Å): 5.340 5.340 5.340
angles (deg): 60.00 60.00 60.00
Positions (direct):
Pr  0.000  0.000  0.000
Pu  0.500  0.500  0.500
Al  0.250  0.250  0.250
In  0.750  0.750  0.750



No. 9
Below is a relaxed structure of TmNpO4, with properties calculated at the GGA-PBE level.

## Properties
* calculated density: 8.936 Mg/m³
* VASP energy: -9.4743 eV/atom
* energy relative to the elements, uncorrected: -3.27 eV/atom

a b c (Å): 4.993 4.993 3.504
angles (deg): 90.00 90.00 91.52
Positions (direct):
Tm  0.000  0.000  0.000
Np  0.500  0.500  0.500
O  0.202  0.202  0.500
O  0.314  0.686  0.000
O  0.686  0.314  0.000
O  0.798  0.798  0.500



No. 10
Below is a relaxed structure of CeMgAs2, with properties calculated at the GGA-PBE level.

## Properties
* energy of formation from the pure elements: -0.835 eV/atom
* calculated density: 5.813 Mg/m³
* VASP energy: -5.0418 eV/atom

a b c (Å): 4.138 4.138 10.483
angles (deg): 90.00 90.00 90.00
Positions (direct):
Ce  0.250  0.250  0.210
Ce  0.750  0.750  0.790
Mg  0.250  0.750  0.500
Mg  0.750  0.250  0.500
As  0.250  0.250  0.672
As  0.250  0.750  0.000
As  0.750  0.250  0.000
As  0.750  0.750  0.328



No. 11
Below is a relaxed structure of AgMoIr2, with properties calculated at the GGA-PBE level.

## Properties
* energy of formation from the pure elements: 0.180 eV/atom
* calculated density: 15.663 Mg/m³
* VASP energy: -7.6714 eV/atom

a b c (Å): 9.553 9.553 9.553
angles (deg): 16.64 16.64 16.64
Positions (direct):
Ag  0.000  0.000  0.000
Mo  0.756  0.756  0.756
Ir  0.247  0.247  0.247
Ir  0.500  0.500  0.500



No. 12
Below is a relaxed structure of CdHgF2, with properties calculated at the GGA-PBE level.

## Properties
* calculated density: 7.691 Mg/m³
* VASP energy: -2.2816 eV/atom
* energy relative to the elements, uncorrected: -1.04 eV/atom

a b c (Å): 8.245 8.245 8.245
angles (deg): 23.11 23.11 23.11
Positions (direct):
Cd  0.000  0.000  0.000
Hg  0.500  0.500  0.500
F  0.101  0.101  0.101
F  0.899  0.899  0.899



No. 13
Below is a relaxed structure of Ba4C5, with properties calculated at the GGA-PBE level.

## Properties
* energy of formation from the pure elements: 1.056 eV/atom
* calculated density: 5.350 Mg/m³
* VASP energy: -4.9229 eV/atom

a b c (Å): 8.128 8.128 8.128
angles (deg): 91.90 91.90 159.01
Positions (direct):
Ba  0.000  0.237  0.237
Ba  0.000  0.763  0.763
Ba  0.237  0.000  0.237
Ba  0.763  0.000  0.763
C  0.000  0.000  0.000
C  0.266  0.266  0.532
C  0.266  0.734  0.000
C  0.734  0.266  0.000
C  0.734  0.734  0.468



No. 14
Below is a relaxed structure of PrNdHo, with properties calculated at the GGA-PBE level.

## Properties
* energy of formation from the pure elements: 0.246 eV/atom
* calculated density: 7.122 Mg/m³
* VASP energy: -4.4628 eV/atom

a b c (Å): 15.344 15.344 15.344
angles (deg): 26.40 26.40 26.40
Positions (direct):
Pr  0.238  0.238  0.690
Pr  0.238  0.690  0.238
Pr  0.310  0.762  0.762
Pr  0.690  0.238  0.238
Pr  0.762  0.310  0.762
Pr  0.762  0.762  0.310
Nd  0.238  0.238  0.238
Nd  0.317  0.317  0.317
Nd  0.462  0.462  0.462
Nd  0.538  0.538  0.538
Nd  0.683  0.683  0.683
Nd  0.762  0.762  0.762
Ho  0.000  0.000  0.000
Ho  0.000  0.000  0.500
Ho  0.000  0.500  0.000
Ho  0.108  0.108  0.108
Ho  0.500  0.000  0.000
Ho  0.892  0.892  0.892



No. 15
Below is a relaxed structure of Pm5Pr2Ho3, with properties calculated at the GGA-PBE level.

## Properties
* energy of formation from the pure elements: 0.185 eV/atom
* calculated density: 7.230 Mg/m³
* VASP energy: -4.5196 eV/atom

a b c (Å): 9.603 9.603 9.654
angles (deg): 108.64 108.64 110.58
Positions (direct):
Pm  0.032  0.968  0.750
Pm  0.116  0.349  0.720
Pm  0.230  0.770  0.750
Pm  0.269  0.731  0.250
Pm  0.349  0.116  0.220
Pm  0.651  0.884  0.780
Pm  0.731  0.269  0.750
Pm  0.770  0.230  0.250
Pm  0.884  0.651  0.280
Pm  0.968  0.032  0.250
Pr  0.233  0.480  0.448
Pr  0.480  0.233  0.948
Pr  0.520  0.767  0.052
Pr  0.767  0.520  0.552
Ho  0.038  0.278  0.046
Ho  0.278  0.038  0.546
Ho  0.476  0.524  0.250
Ho  0.524  0.476  0.750
Ho  0.722  0.962  0.454
Ho  0.962  0.722  0.954



No. 16
Below is a relaxed structure of InPt2Au, with properties calculated at the GGA-PBE level.

## Properties
* energy of formation from the pure elements: -0.016 eV/atom
* calculated density: 16.550 Mg/m³
* VASP energy: -4.5400 eV/atom

a b c (Å): 9.234 9.234 9.234
angles (deg): 18.66 18.66 18.66
Positions (direct):
In  0.000  0.000  0.000
Pt  0.253  0.253  0.253
Pt  0.504  0.504  0.504
Au  0.753  0.753  0.753



No. 17
Below is a relaxed structure of Y4ScAl2, with properties calculated at the GGA-PBE level.

## Properties
* energy of formation from the pure elements: -0.194 eV/atom
* calculated density: 4.038 Mg/m³
* VASP energy: -5.8611 eV/atom

a b c (Å): 8.631 8.631 8.631
angles (deg): 34.80 34.80 34.80
Positions (direct):
Y  0.105  0.105  0.105
Y  0.365  0.365  0.365
Y  0.635  0.635  0.635
Y  0.895  0.895  0.895
Sc  0.500  0.500  0.500
Al  0.235  0.235  0.235
Al  0.765  0.765  0.765



No. 18
Below is a relaxed structure of LiPaPt, with properties calculated at the GGA-PBE level.

## Properties
* energy of formation from the pure elements: -0.658 eV/atom
* calculated density: 12.094 Mg/m³
* VASP energy: -6.4746 eV/atom

a b c (Å): 3.745 3.745 8.478
angles (deg): 90.00 90.00 90.00
Positions (direct):
Li  0.250  0.750  0.000
Li  0.750  0.250  0.000
Pa  0.250  0.250  0.365
Pa  0.750  0.750  0.635
Pt  0.250  0.250  0.756
Pt  0.750  0.750  0.244



No. 19
Below is a relaxed structure of Sr4Hg2C, with properties calculated at the GGA-PBE level.

## Properties
* energy of formation from the pure elements: -0.022 eV/atom
* calculated density: 5.181 Mg/m³
* VASP energy: -2.3865 eV/atom

a b c (Å): 9.227 9.227 9.227
angles (deg): 145.98 145.98 48.87
Positions (direct):
Sr  0.000  0.500  0.500
Sr  0.163  0.163  0.000
Sr  0.500  0.000  0.500
Sr  0.837  0.837  0.000
Hg  0.362  0.362  0.000
Hg  0.638  0.638  0.000
C  0.000  0.000  0.000



No. 20
Below is a relaxed structure of CsCoMo2, with properties calculated at the GGA-PBE level.

## Properties
* energy of formation from the pure elements: 1.845 eV/atom
* calculated density: 9.397 Mg/m³
* VASP energy: -5.5604 eV/atom

a b c (Å): 4.577 4.577 4.577
angles (deg): 60.00 60.00 60.00
Positions (direct):
Cs  0.000  0.000  0.000
Co  0.500  0.500  0.500
Mo  0.250  0.250  0.250
Mo  0.750  0.750  0.750



No. 21
Below is a relaxed structure of BaCuSe2Br, with properties calculated at the GGA-PBE level.

## Properties
* calculated density: 2.931 Mg/m³
* VASP energy: -2.6939 eV/atom
* energy relative to the elements, uncorrected: 0.24 eV/atom

a b c (Å): 6.343 6.343 6.178
angles (deg): 90.00 90.00 90.00
Positions (direct):
Ba  0.000  0.000  0.000
Cu  0.500  0.500  0.500
Se  0.000  0.500  0.000
Se  0.500  0.000  0.000
Br  0.000  0.000  0.500



No. 22
Below is a relaxed structure of BeV2CoH, with properties calculated at the GGA-PBE level.

## Properties
* calculated density: 5.932 Mg/m³
* VASP energy: -6.5804 eV/atom

a b c (Å): 3.676 3.676 3.539
angles (deg): 90.00 90.00 90.00
Positions (direct):
Be  0.000  0.000  0.000
V  0.000  0.500  0.500
V  0.500  0.000  0.500
Co  0.500  0.500  0.000
H  0.500  0.500  0.500



No. 23
Below is a relaxed structure of K3Ca2NpSe6, with properties calculated at the GGA-PBE level.

## Properties
* calculated density: 4.168 Mg/m³
* VASP energy: -4.8986 eV/atom
* energy relative to the elements, uncorrected: -1.47 eV/atom

a b c (Å): 7.398 7.398 8.025
angles (deg): 98.86 98.86 120.00
Positions (direct):
K  0.000  0.000  0.000
K  0.329  0.671  0.000
K  0.671  0.329  0.000
Ca  0.166  0.834  0.500
Ca  0.834  0.166  0.500
Np  0.500  0.500  0.500
Se  0.119  0.432  0.295
Se  0.257  0.257  0.705
Se  0.432  0.119  0.295
Se  0.568  0.881  0.705
Se  0.743  0.743  0.295
Se  0.881  0.568  0.705